(1)
Compound: LaSbPd3
Source: Alexandria via LeMat-Bulk
Functional: PBE
Structure: relaxed

Calculated values
Energy above the most stable polymorph in this dataset: 0 meV/atom
Formation energy (no corrections): -0.716 eV per atom
Electronic total energy: -5.641 eV per atom
Spin magnetization: 0.0 μB/f.u.

Cell: 5.5837 8.1833 9.2483 Å, 90.00 90.00 90.00°
Space group Imma (No. 74)
One atom of each set of equivalent atoms:
1 La 0.0000 0.2500 0.0019 (multiplicity 4)
2 Sb 0.0000 0.0000 0.5000 (multiplicity 4)
3 Pd 0.0000 0.2500 0.6833 (multiplicity 4)
4 Pd 0.2500 0.0576 0.2500 (multiplicity 8)

(2)
Compound: Zr2CrCo2
Source: Alexandria via LeMat-Bulk
Functional: PBE
Structure: relaxed

Calculated values
Energy above the most stable polymorph in this dataset: 288 meV/atom
Electronic total energy: -7.959 eV per atom
Spin magnetization: 3.6 μB/f.u.

Cell: 3.2329 3.2329 15.9559 Å, 90.00 90.00 90.00°
Space group I4/mmm (No. 139)
One atom of each set of equivalent atoms:
1 Zr 0.0000 0.0000 0.1065 (multiplicity 4)
2 Cr 0.0000 0.0000 0.5000 (multiplicity 2)
3 Co 0.0000 0.5000 0.2500 (multiplicity 4)

(3)
Compound: Li2PPdN
Source: Alexandria via LeMat-Bulk
Functional: PBE
Structure: relaxed

Calculated values
Formation energy (no corrections): -0.160 eV per atom
Electronic total energy: -4.711 eV per atom
Spin magnetization: 0.0 μB/f.u.

Cell: 3.8991 3.8991 3.7212 Å, 90.00 90.00 90.00°
Space group P4/mmm (No. 123)
One atom of each set of equivalent atoms:
1 Li 0.0000 0.5000 0.0000 (multiplicity 2)
2 P 0.0000 0.0000 0.5000 (multiplicity 1)
3 Pd 0.5000 0.5000 0.5000 (multiplicity 1)
4 N 0.0000 0.0000 0.0000 (multiplicity 1)

(4)
Compound: NaSrSiHg2
Source: Alexandria via LeMat-Bulk
Functional: PBE
Structure: relaxed

Calculated values
Formation energy (no corrections): 0.036 eV per atom
Electronic total energy: -1.769 eV per atom
Spin magnetization: 0.0 μB/f.u.

Cell: 5.2999 5.2999 5.2864 Å, 90.00 90.00 90.00°
Space group P4/mmm (No. 123)
One atom of each set of equivalent atoms:
1 Na 0.0000 0.0000 0.0000 (multiplicity 1)
2 Sr 0.5000 0.5000 0.0000 (multiplicity 1)
3 Si 0.0000 0.0000 0.5000 (multiplicity 1)
4 Hg 0.0000 0.5000 0.5000 (multiplicity 2)

(5)
Compound: TlZnAu
Source: Alexandria via LeMat-Bulk
Functional: PBE
Structure: relaxed

Calculated values
Energy above the most stable polymorph in this dataset: 0 meV/atom
Electronic total energy: -2.418 eV per atom
Spin magnetization: 0.0 μB/f.u.

Cell: 4.0491 4.0491 7.8747 Å, 90.00 90.00 90.00°
Space group P4/nmm (No. 129, origin choice 2)
One atom of each set of equivalent atoms:
1 Tl 0.2500 0.2500 0.1299 (multiplicity 2)
2 Zn 0.2500 0.7500 0.5000 (multiplicity 2)
3 Au 0.2500 0.2500 0.7211 (multiplicity 2)

(6)
Compound: YCoSi3
Source: Alexandria via LeMat-Bulk
Functional: PBE
Structure: relaxed

Calculated values
Formation energy (no corrections): -0.015 eV per atom
Electronic total energy: -5.983 eV per atom
Spin magnetization: 0.0 μB/f.u.

Cell: 4.4539 4.4539 4.4539 Å, 90.00 90.00 90.00°
Space group Pm-3m (No. 221)
One atom of each set of equivalent atoms:
1 Y 0.0000 0.0000 0.0000 (multiplicity 1)
2 Co 0.5000 0.5000 0.5000 (multiplicity 1)
3 Si 0.0000 0.5000 0.5000 (multiplicity 3)

(7)
Compound: Rb2BeF4
Source: Alexandria via LeMat-Bulk
Functional: PBE
Structure: relaxed

Calculated values
Energy above the most stable polymorph in this dataset: 22 meV/atom
Formation energy (no corrections): -3.051 eV per atom
Electronic total energy: -4.929 eV per atom
Spin magnetization: 0.1 μB/f.u.

Cell: 5.8320 5.8632 7.7356 Å, 90.00 92.25 90.00°
Space group P2_1/m (No. 11)
One atom of each set of equivalent atoms:
1 Rb 0.2202 0.2500 0.4837 (multiplicity 2)
2 Rb 0.2426 0.7500 0.1205 (multiplicity 2)
3 Be 0.2701 0.7500 0.7159 (multiplicity 2)
4 F 0.1284 0.5352 0.7693 (multiplicity 4)
5 F 0.2913 0.7500 0.5112 (multiplicity 2)
6 F 0.4886 0.2500 0.1910 (multiplicity 2)

(8)
Compound: TiCu2Au3
Source: Alexandria via LeMat-Bulk
Functional: PBE
Structure: relaxed

Calculated values
Energy above the most stable polymorph in this dataset: 0 meV/atom
Electronic total energy: -4.490 eV per atom
Spin magnetization: 0.8 μB/f.u.

Cell: 3.2127 3.2127 9.2215 Å, 90.00 90.00 90.00°
Space group P4/mmm (No. 123)
One atom of each set of equivalent atoms:
1 Ti 0.0000 0.0000 0.0000 (multiplicity 1)
2 Cu 0.0000 0.0000 0.3415 (multiplicity 2)
3 Au 0.5000 0.5000 0.1785 (multiplicity 2)
4 Au 0.5000 0.5000 0.5000 (multiplicity 1)

What did the fourth record say?
Compound: NaSrSiHg2
Source: Alexandria via LeMat-Bulk
Functional: PBE
Structure: relaxed

Calculated values
Formation energy (no corrections): 0.036 eV per atom
Electronic total energy: -1.769 eV per atom
Spin magnetization: 0.0 μB/f.u.

Cell: 5.2999 5.2999 5.2864 Å, 90.00 90.00 90.00°
Space group P4/mmm (No. 123)
One atom of each set of equivalent atoms:
1 Na 0.0000 0.0000 0.0000 (multiplicity 1)
2 Sr 0.5000 0.5000 0.0000 (multiplicity 1)
3 Si 0.0000 0.0000 0.5000 (multiplicity 1)
4 Hg 0.0000 0.5000 0.5000 (multiplicity 2)